No. 1
# Na3LaTc, relaxed, DFT GGA-PBE
# Theoretical density, Mg/m³: 3.61
# Fermi-level density of states, states/eV/f.u.: 2.007
# ΔE to the lowest computed polymorph, kJ/mol of formula units: 243.5
# Calculated formation energy, eV/f.u.: 2.696
data_Na3LaTc
_chemical_formula_sum 'Na6 La2 Tc2'
_cell_length_a 3.186
_cell_length_b 4.999
_cell_length_c 17.653
_cell_angle_alpha 90.00
_cell_angle_beta 90.00
_cell_angle_gamma 90.00
_space_group_name_H-M_alt 'A m m 2'
_space_group_IT_number 38
loop_
_space_group_symop_operation_xyz
'x,y,z'
'-x,-y,z'
'-x,y,z'
'x,-y,z'
'x,y+1/2,z+1/2'
'-x,-y+1/2,z+1/2'
'-x,y+1/2,z+1/2'
'x,-y+1/2,z+1/2'
loop_
_atom_site_label
_atom_site_fract_x
_atom_site_fract_y
_atom_site_fract_z
_atom_site_occupancy
Na1 0.000 0.000 0.000 1
Na2 0.500 0.244 0.675 1
La1 0.500 0.000 0.356 1
Tc1 0.000 0.000 0.827 1

=====

No. 2
# Ba2CaPbO4, relaxed, DFT GGA-PBE
# Theoretical density, Mg/m³: 6.37
# Fermi-level density of states, states/eV/f.u.: 0.000
# Uncorrected formation energy, eV/atom: -2.16
data_Ba2CaPbO4
_chemical_formula_sum 'Ba8 Ca4 Pb4 O16'
_cell_length_a 7.538
_cell_length_b 7.596
_cell_length_c 10.667
_cell_angle_alpha 90.00
_cell_angle_beta 90.00
_cell_angle_gamma 90.00
_space_group_name_H-M_alt 'I m m a'
_space_group_IT_number 74
_space_group_name_Hall '-I 2b 2'
loop_
_atom_site_label
_atom_site_fract_x
_atom_site_fract_y
_atom_site_fract_z
_atom_site_occupancy
Ba1 0.000 0.000 0.000 1
Ba2 0.250 0.250 0.250 1
Ca1 0.250 0.250 0.750 1
Pb1 0.000 0.000 0.500 1
O1 0.000 0.019 0.748 1
O2 0.248 0.250 0.512 1

=====

No. 3
# CaTbSi, relaxed, DFT GGA-PBE
# Theoretical density, Mg/m³: 4.43
# Fermi-level density of states, states/eV/f.u.: 1.780
# Uncorrected formation energy, eV/atom: -0.41
data_CaTbSi
_chemical_formula_sum 'Ca4 Tb4 Si4'
_cell_length_a 6.985
_cell_length_b 6.985
_cell_length_c 6.985
_cell_angle_alpha 90.00
_cell_angle_beta 90.00
_cell_angle_gamma 90.00
_space_group_name_H-M_alt 'F -4 3 m'
_space_group_IT_number 216
_space_group_name_Hall 'F -4 2 3'
loop_
_atom_site_label
_atom_site_fract_x
_atom_site_fract_y
_atom_site_fract_z
_atom_site_occupancy
Ca1 0.000 0.000 0.000 1
Tb1 0.000 0.000 0.500 1
Si1 0.250 0.250 0.750 1

=====

No. 4
# RbBa3Tl, relaxed, DFT GGA-PBE
# Theoretical density, Mg/m³: 3.49
# Fermi-level density of states, states/eV/f.u.: 6.046
# ΔE to the lowest computed polymorph, kJ/mol of formula units: 0.0
# Calculated formation energy, eV/f.u.: -0.296
data_RbBa3Tl
_chemical_formula_sum 'Rb1 Ba3 Tl1'
_cell_length_a 6.940
_cell_length_b 6.940
_cell_length_c 6.940
_cell_angle_alpha 90.00
_cell_angle_beta 90.00
_cell_angle_gamma 90.00
_space_group_name_H-M_alt 'P m -3 m'
_space_group_IT_number 221
_space_group_name_Hall '-P 4 2 3'
loop_
_atom_site_label
_atom_site_fract_x
_atom_site_fract_y
_atom_site_fract_z
_atom_site_occupancy
Rb1 0.000 0.000 0.000 1
Ba1 0.000 0.500 0.500 1
Tl1 0.500 0.500 0.500 1